{
  "formula": "TlCrCd2F8",
  "functional": "PBE with a Hubbard U",
  "state": "relaxed",
  "mass_density_kg_m3": 5476,
  "crystal_system": "triclinic",
  "space_group": "P-1, No. 2",
  "e_tot_ev_per_atom": -4.493,
  "lattice_angstrom": [[5.083, 0.007, 0.007], [0.046, 5.128, 0.013], [0.024, 0.035, 7.366]],
  "species": ["F", "F", "F", "F", "F", "F", "F", "F", "Tl", "Cd", "Cd", "Cr"],
  "frac_coords": [[0.170, 0.784, 0.185], [0.585, 0.729, 0.499], [0.705, 0.742, 0.999], [0.825, 0.211, 0.184], [0.830, 0.216, 0.815], [0.295, 0.258, 0.001], [0.415, 0.271, 0.501], [0.175, 0.789, 0.816], [0.000, 0.000, 0.500], [0.499, 0.500, 0.755], [0.501, 0.500, 0.245], [0.000, 0.000, 0.000]]
}